CrBi2SbO6: optimized geometry, PBE+U.

Crystal system: trigonal
Magnetization, μB/cell: 2.99
Calculated total energy, eV per atom: -6.2212
Mass density, g/cm3: 7.93

Cell: 5.9099 5.9107 5.8562 Å, 59.69 59.69 59.98°
Closest atoms and distances in Å follow each position.
Sites, in units of the cell vectors:
O 0.1539 0.9394 0.2694  1 Cr 2.03
Bi 0.5317 0.5317 0.4047  6 O 2.39-2.43
O 0.9394 0.6374 0.2694  1 Cr 2.03
Cr 0.8168 0.8168 0.5496  6 O 2.03-2.12
Bi 0.0322 0.0320 0.9037  6 O 2.32-2.52
O 0.6372 0.1539 0.2694  1 Cr 2.03
O 0.6615 0.0975 0.7586  1 Cr 2.12, 1 Sb 2.27
O 0.0975 0.4825 0.7584  1 Cr 2.12, 1 Sb 2.27
Sb 0.3089 0.3088 0.0735  6 O 2.27-2.31
O 0.4825 0.6615 0.7586  1 Cr 2.12, 1 Sb 2.27